VASP calculation (PBE) on a relaxed structure of BeFe2Ni.

Geometry as extended XYZ:
```
4
Lattice="0.0000 2.7430 2.7430 2.7430 0.0000 2.7430 2.7430 2.7430 0.0000" Properties=species:S:1:pos:R:3 pbc="T T T"
Be 0.0000 0.0000 0.0000
Fe 2.7430 2.7430 2.7430
Fe 4.1145 4.1145 4.1145
Ni 1.3715 1.3715 1.3715
```

Properties
Crystal system: cubic
Density of states at the Fermi level, states/eV/cell: 2.93
Energy of formation, eV per formula unit: -0.36
Total magnetization, μB/f.u.: 4.3
Symmetry: F-43m, No. 216